The following is a DFT calculation (PBE-GGA) of a relaxed structure of ErTmZn.

Cell lengths 4.954, 4.954, 3.554 Å; angles 90.00, 90.00, 120.00 degrees
Element x y z (fractional)
Er1 0.000 0.000 0.000
Tm1 0.333 0.667 0.535
Zn1 0.667 0.333 0.282

Computed properties:
The calculation puts the uncorrected energy at -3.49 eV/atom.